FeCuSe | meta-GGA SCAN | single point on PBEsol structure

abc: 4.702 4.702 4.702
angles: 142.40 142.40 54.22
Element x y z (fractional)
Fe (0.000, 0.000, 0.000)
Cu (0.319, 0.319, 0.000)
Se (0.626, 0.626, 0.000)

## Properties
SG ... I4mm (107)
Energy relative to the elements, uncorrected ... 0.349 eV/atom
Calculated volume ... 12.81 A^3/atom